An optimized crystal structure of PbAu17. Source: OQMD via LeMat-Bulk, functional PBE.

Geometry as POSCAR:
```
PbAu17
1.0
5.806 0.000 0.000
-2.903 5.028 0.000
0.000 0.000 33.873
Pb Au
2 34
Direct
0.333 0.667 0.314 Pb
0.667 0.333 0.686 Pb
0.000 0.000 0.000 Au
0.000 0.000 0.215 Au
0.000 0.000 0.785 Au
0.000 0.500 0.000 Au
0.004 0.502 0.216 Au
0.166 0.333 0.143 Au
0.166 0.834 0.143 Au
0.167 0.333 0.929 Au
0.167 0.334 0.713 Au
0.167 0.833 0.713 Au
0.167 0.833 0.929 Au
0.333 0.166 0.857 Au
0.333 0.167 0.071 Au
0.333 0.667 0.072 Au
0.333 0.667 0.857 Au
0.334 0.167 0.287 Au
0.498 0.502 0.216 Au
0.498 0.996 0.216 Au
0.500 0.000 0.000 Au
0.500 0.500 0.000 Au
0.502 0.004 0.784 Au
0.502 0.498 0.784 Au
0.666 0.833 0.713 Au
0.667 0.333 0.143 Au
0.667 0.333 0.928 Au
0.667 0.833 0.929 Au
0.667 0.834 0.143 Au
0.833 0.167 0.071 Au
0.833 0.167 0.287 Au
0.833 0.666 0.287 Au
0.833 0.667 0.071 Au
0.834 0.166 0.857 Au
0.834 0.667 0.857 Au
0.996 0.498 0.784 Au
```

Results
space group	P-3m1 (164)
VASP energy	-3.256	eV/atom
calculated density	11.94	g/cm³



An optimized crystal structure of PbAu15. Source: OQMD via LeMat-Bulk, functional PBE.

Geometry as POSCAR:
```
PbAu15
1.0
5.018 0.000 0.000
0.000 34.277 0.000
-1.586 0.000 4.749
Pb Au
2 30
Direct
0.000 0.159 0.250 Pb
0.000 0.841 0.750 Pb
0.000 0.213 0.750 Au
0.000 0.258 0.250 Au
0.000 0.302 0.750 Au
0.000 0.346 0.250 Au
0.000 0.390 0.750 Au
0.000 0.434 0.250 Au
0.000 0.478 0.750 Au
0.000 0.522 0.250 Au
0.000 0.566 0.750 Au
0.000 0.610 0.250 Au
0.000 0.654 0.750 Au
0.000 0.698 0.250 Au
0.000 0.742 0.750 Au
0.000 0.787 0.250 Au
0.500 0.173 0.750 Au
0.500 0.213 0.250 Au
0.500 0.259 0.750 Au
0.500 0.302 0.250 Au
0.500 0.346 0.750 Au
0.500 0.390 0.250 Au
0.500 0.434 0.750 Au
0.500 0.478 0.250 Au
0.500 0.522 0.750 Au
0.500 0.566 0.250 Au
0.500 0.610 0.750 Au
0.500 0.654 0.250 Au
0.500 0.698 0.750 Au
0.500 0.741 0.250 Au
0.500 0.787 0.750 Au
0.500 0.827 0.250 Au
```

Results
space group	P2/c (13)
VASP energy	-3.263	eV/atom
calculated density	12.85	g/cm³



An optimized crystal structure of PbAu7. Source: OQMD via LeMat-Bulk, functional PBE.

Geometry as POSCAR:
```
PbAu7
1.0
3.016 0.000 0.000
0.000 3.937 0.000
0.000 0.000 33.703
Pb Au
2 14
Direct
0.250 0.250 0.152 Pb
0.750 0.750 0.848 Pb
0.250 0.250 0.251 Au
0.250 0.250 0.342 Au
0.250 0.250 0.432 Au
0.250 0.250 0.523 Au
0.250 0.250 0.613 Au
0.250 0.250 0.703 Au
0.250 0.250 0.795 Au
0.750 0.750 0.205 Au
0.750 0.750 0.297 Au
0.750 0.750 0.387 Au
0.750 0.750 0.477 Au
0.750 0.750 0.568 Au
0.750 0.750 0.658 Au
0.750 0.750 0.749 Au
```

Results
space group	Pmmn (59)
VASP energy	-3.302	eV/atom
calculated density	13.16	g/cm³



An optimized crystal structure of PbAu15. Source: OQMD via LeMat-Bulk, functional PBE.

Geometry as POSCAR:
```
PbAu15
1.0
8.123 0.000 0.000
0.000 2.967 0.000
-0.005 0.000 36.686
Pb Au
2 30
Direct
0.125 0.250 0.186 Pb
0.875 0.750 0.814 Pb
0.122 0.250 0.683 Au
0.122 0.250 0.766 Au
0.124 0.250 0.601 Au
0.125 0.250 0.275 Au
0.125 0.250 0.358 Au
0.125 0.250 0.439 Au
0.125 0.250 0.520 Au
0.372 0.750 0.234 Au
0.372 0.750 0.317 Au
0.374 0.750 0.399 Au
0.375 0.750 0.480 Au
0.375 0.750 0.561 Au
0.375 0.750 0.641 Au
0.375 0.750 0.721 Au
0.375 0.750 0.801 Au
0.625 0.250 0.199 Au
0.625 0.250 0.279 Au
0.625 0.250 0.359 Au
0.625 0.250 0.439 Au
0.625 0.250 0.520 Au
0.626 0.250 0.601 Au
0.628 0.250 0.683 Au
0.628 0.250 0.766 Au
0.875 0.750 0.480 Au
0.875 0.750 0.561 Au
0.875 0.750 0.642 Au
0.875 0.750 0.725 Au
0.876 0.750 0.399 Au
0.878 0.750 0.234 Au
0.878 0.750 0.317 Au
```

Results
space group	P2_1/m (11)
VASP energy	-3.247	eV/atom
calculated density	11.88	g/cm³



Copy entry 2 word for word.
An optimized crystal structure of PbAu15. Source: OQMD via LeMat-Bulk, functional PBE.

Geometry as POSCAR:
```
PbAu15
1.0
5.018 0.000 0.000
0.000 34.277 0.000
-1.586 0.000 4.749
Pb Au
2 30
Direct
0.000 0.159 0.250 Pb
0.000 0.841 0.750 Pb
0.000 0.213 0.750 Au
0.000 0.258 0.250 Au
0.000 0.302 0.750 Au
0.000 0.346 0.250 Au
0.000 0.390 0.750 Au
0.000 0.434 0.250 Au
0.000 0.478 0.750 Au
0.000 0.522 0.250 Au
0.000 0.566 0.750 Au
0.000 0.610 0.250 Au
0.000 0.654 0.750 Au
0.000 0.698 0.250 Au
0.000 0.742 0.750 Au
0.000 0.787 0.250 Au
0.500 0.173 0.750 Au
0.500 0.213 0.250 Au
0.500 0.259 0.750 Au
0.500 0.302 0.250 Au
0.500 0.346 0.750 Au
0.500 0.390 0.250 Au
0.500 0.434 0.750 Au
0.500 0.478 0.250 Au
0.500 0.522 0.750 Au
0.500 0.566 0.250 Au
0.500 0.610 0.750 Au
0.500 0.654 0.250 Au
0.500 0.698 0.750 Au
0.500 0.741 0.250 Au
0.500 0.787 0.750 Au
0.500 0.827 0.250 Au
```

Results
space group	P2/c (13)
VASP energy	-3.263	eV/atom
calculated density	12.85	g/cm³



- What is the calculated density in the second record?
  12.85 g/cm³



- What is the VASP energy in the third record?
  -3.302 eV/atom